# 1
SrCaMg4: optimized geometry, PBE-GGA.

POSCAR file:
```
SrCaMg4
1.0
0.0000 4.4728 4.4728
4.4728 0.0000 4.4728
4.4728 4.4728 0.0000
Sr Ca Mg
1 1 4
direct
0.0000 0.0000 0.0000 Sr
0.7500 0.7500 0.7500 Ca
0.3753 0.3753 0.3753 Mg
0.3753 0.3753 0.8741 Mg
0.3753 0.8741 0.3753 Mg
0.8741 0.3753 0.3753 Mg
```

## Properties
**D(E_F)**: 5.4 states/eV/f.u.
**Size of the total moment**: 0.00 μB/cell
**Uncorrected energy**: -10.7 eV per cell
**Space-group type**: No. 216
**DFT formation energy**: -0.109 eV/atom

=====

# 2
SrCa2Mg2: optimized geometry, PBE-GGA.

POSCAR file:
```
SrCa2Mg2
1.0
3.9473 0.0000 0.0000
0.0000 5.9495 0.0000
-1.9861 0.0000 15.1736
Sr Ca Mg
2 4 4
direct
0.1445 0.2500 0.2925 Sr
0.8555 0.7500 0.7075 Sr
0.0446 0.7500 0.0911 Ca
0.2309 0.7500 0.4626 Ca
0.7691 0.2500 0.5374 Ca
0.9554 0.2500 0.9089 Ca
0.3649 0.2500 0.7250 Mg
0.4548 0.7500 0.9050 Mg
0.5452 0.2500 0.0950 Mg
0.6351 0.7500 0.2750 Mg
```

## Properties
**D(E_F)**: 5.0 states/eV/f.u.
**Size of the total moment**: 0.00 μB/cell
**Uncorrected energy**: -18.1 eV per cell
**Excess energy over the best structure of this formula in the dataset**: 0 meV/atom
**Space-group type**: No. 11
**DFT formation energy**: -0.036 eV/atom